The following is a PBE-GGA calculation of a geometry-optimized Pr4Ag2Ir structure, from Alexandria.

Properties
calculated formation energy: -0.2357 eV per atom
DOS(E_F): 1.167 states/eV per atom

CIF file:
```
data_Pr4Ag2Ir
_cell_length_a 5.2344
_cell_length_b 5.2344
_cell_length_c 25.4561
_cell_angle_alpha 90.00
_cell_angle_beta 90.00
_cell_angle_gamma 120.00
_symmetry_space_group_name_H-M 'R -3 m'
_symmetry_Int_Tables_number 166
_symmetry_space_group_name_Hall '-R 3 2"'
loop_
_atom_site_label
_atom_site_fract_x
_atom_site_fract_y
_atom_site_fract_z
Pr1 0.0000 0.0000 0.1187
Pr2 0.0000 0.0000 0.3705
Ag1 0.0000 0.0000 0.2436
Ir1 0.0000 0.0000 0.0000
```

---

The following is a PBE-GGA calculation of a geometry-optimized Pr8Ag2Ir structure, from Alexandria.

Properties
calculated formation energy: -0.1898 eV per atom
DOS(E_F): 1.173 states/eV per atom

CIF file:
```
data_Pr8Ag2Ir
_cell_length_a 18.342
_cell_length_b 5.272
_cell_length_c 7.105
_cell_angle_alpha 90.00
_cell_angle_beta 101.36
_cell_angle_gamma 90.00
_symmetry_space_group_name_H-M 'C 1 2/m 1'
_symmetry_Int_Tables_number 12
_symmetry_space_group_name_Hall '-C 2y'
loop_
_atom_site_label
_atom_site_fract_x
_atom_site_fract_y
_atom_site_fract_z
Pr1 0.025 0.000 0.284
Pr2 0.088 0.500 0.938
Pr3 0.156 0.500 0.471
Pr4 0.203 0.000 0.825
Ag1 0.190 0.000 0.240
Ir1 0.000 0.500 0.500
```

---

The following is a PBE-GGA calculation of a geometry-optimized Pr4Ag3Ir structure, from Alexandria.

Properties
calculated formation energy: -0.3542 eV per atom
DOS(E_F): 0.789 states/eV per atom

CIF file:
```
data_Pr4Ag3Ir
_cell_length_a 5.2917
_cell_length_b 5.2917
_cell_length_c 25.6308
_cell_angle_alpha 90.00
_cell_angle_beta 90.00
_cell_angle_gamma 120.00
_symmetry_space_group_name_H-M 'R -3 m'
_symmetry_Int_Tables_number 166
_symmetry_space_group_name_Hall '-R 3 2"'
loop_
_atom_site_label
_atom_site_fract_x
_atom_site_fract_y
_atom_site_fract_z
Pr1 0.0000 0.0000 0.1167
Pr2 0.0000 0.0000 0.3683
Ag1 0.0000 0.0000 0.2419
Ag2 0.0000 0.0000 0.5000
Ir1 0.0000 0.0000 0.0000
```

---

The following is a PBE-GGA calculation of a geometry-optimized Pr2AgSb4Ir3 structure, from Alexandria.

Properties
uncorrected formation energy: -0.558 eV per atom
DOS(E_F): 0.420 states/eV per atom

CIF file:
```
data_Pr2AgSb4Ir3
_cell_length_a 4.628
_cell_length_b 4.628
_cell_length_c 10.587
_cell_angle_alpha 90.00
_cell_angle_beta 90.00
_cell_angle_gamma 90.00
_symmetry_space_group_name_H-M 'P -4 m 2'
_symmetry_Int_Tables_number 115
_symmetry_space_group_name_Hall 'P -4 -2'
loop_
_atom_site_label
_atom_site_fract_x
_atom_site_fract_y
_atom_site_fract_z
Pr1 0.000 0.500 0.249
Ag1 0.500 0.500 0.000
Sb1 0.000 0.000 0.500
Sb2 0.000 0.500 0.863
Sb3 0.500 0.500 0.500
Ir1 0.000 0.000 0.000
Ir2 0.000 0.500 0.618
```

---

The following is a PBE-GGA calculation of a geometry-optimized PrSmAgIr structure, from Alexandria.

Properties
calculated formation energy: -0.4451 eV per atom
DOS(E_F): 0.918 states/eV per atom

CIF file:
```
data_PrSmAgIr
_cell_length_a 7.253
_cell_length_b 7.253
_cell_length_c 7.253
_cell_angle_alpha 90.00
_cell_angle_beta 90.00
_cell_angle_gamma 90.00
_symmetry_space_group_name_H-M 'F -4 3 m'
_symmetry_Int_Tables_number 216
_symmetry_space_group_name_Hall 'F -4 2 3'
loop_
_atom_site_label
_atom_site_fract_x
_atom_site_fract_y
_atom_site_fract_z
Pr1 0.000 0.000 0.000
Sm1 0.000 0.000 0.500
Ag1 0.250 0.250 0.750
Ir1 0.250 0.250 0.250
```

---

The following is a PBE-GGA calculation of a geometry-optimized TbPrAgIr structure, from Alexandria.

Properties
calculated formation energy: -0.4781 eV per atom
DOS(E_F): 0.802 states/eV per atom

CIF file:
```
data_TbPrAgIr
_cell_length_a 7.196
_cell_length_b 7.196
_cell_length_c 7.196
_cell_angle_alpha 90.00
_cell_angle_beta 90.00
_cell_angle_gamma 90.00
_symmetry_space_group_name_H-M 'F -4 3 m'
_symmetry_Int_Tables_number 216
_symmetry_space_group_name_Hall 'F -4 2 3'
loop_
_atom_site_label
_atom_site_fract_x
_atom_site_fract_y
_atom_site_fract_z
Tb1 0.000 0.000 0.000
Pr1 0.000 0.000 0.500
Ag1 0.250 0.250 0.250
Ir1 0.250 0.250 0.750
```

---

The following is a PBE-GGA calculation of a geometry-optimized PrTmAgIr structure, from Alexandria.

Properties
calculated formation energy: -0.5004 eV per atom
DOS(E_F): 0.728 states/eV per atom

CIF file:
```
data_PrTmAgIr
_cell_length_a 7.140
_cell_length_b 7.140
_cell_length_c 7.140
_cell_angle_alpha 90.00
_cell_angle_beta 90.00
_cell_angle_gamma 90.00
_symmetry_space_group_name_H-M 'F -4 3 m'
_symmetry_Int_Tables_number 216
_symmetry_space_group_name_Hall 'F -4 2 3'
loop_
_atom_site_label
_atom_site_fract_x
_atom_site_fract_y
_atom_site_fract_z
Pr1 0.000 0.000 0.000
Tm1 0.000 0.000 0.500
Ag1 0.250 0.250 0.250
Ir1 0.250 0.250 0.750
```

---

The following is a PBE-GGA calculation of a geometry-optimized PrYAgIr structure, from Alexandria.

Properties
calculated formation energy: -0.4799 eV per atom
DOS(E_F): 0.804 states/eV per atom

CIF file:
```
data_PrYAgIr
_cell_length_a 7.191
_cell_length_b 7.191
_cell_length_c 7.191
_cell_angle_alpha 90.00
_cell_angle_beta 90.00
_cell_angle_gamma 90.00
_symmetry_space_group_name_H-M 'F -4 3 m'
_symmetry_Int_Tables_number 216
_symmetry_space_group_name_Hall 'F -4 2 3'
loop_
_atom_site_label
_atom_site_fract_x
_atom_site_fract_y
_atom_site_fract_z
Pr1 0.000 0.000 0.000
Y1 0.000 0.000 0.500
Ag1 0.250 0.250 0.750
Ir1 0.250 0.250 0.250
```

---

The following is a PBE-GGA calculation of a geometry-optimized PrZrAgIr structure, from Alexandria.

Properties
calculated formation energy: -0.2743 eV per atom
DOS(E_F): 0.941 states/eV per atom

CIF file:
```
data_PrZrAgIr
_cell_length_a 7.027
_cell_length_b 7.027
_cell_length_c 7.027
_cell_angle_alpha 90.00
_cell_angle_beta 90.00
_cell_angle_gamma 90.00
_symmetry_space_group_name_H-M 'F -4 3 m'
_symmetry_Int_Tables_number 216
_symmetry_space_group_name_Hall 'F -4 2 3'
loop_
_atom_site_label
_atom_site_fract_x
_atom_site_fract_y
_atom_site_fract_z
Pr1 0.000 0.000 0.000
Zr1 0.000 0.000 0.500
Ag1 0.250 0.250 0.750
Ir1 0.250 0.250 0.250
```

---

The following is a PBE-GGA calculation of a geometry-optimized AgIrPt3 structure, from Alexandria.

Properties
calculated formation energy: 2.0984 eV per atom
DOS(E_F): 1.461 states/eV per atom

CIF file:
```
data_AgIrPt3
_cell_length_a 4.787
_cell_length_b 4.787
_cell_length_c 4.787
_cell_angle_alpha 90.00
_cell_angle_beta 90.00
_cell_angle_gamma 90.00
_symmetry_space_group_name_H-M 'P m -3 m'
_symmetry_Int_Tables_number 221
_symmetry_space_group_name_Hall '-P 4 2 3'
loop_
_atom_site_label
_atom_site_fract_x
_atom_site_fract_y
_atom_site_fract_z
Ag1 0.000 0.000 0.000
Ir1 0.500 0.500 0.500
Pt1 0.000 0.000 0.500
```

---

The following is a PBE-GGA calculation of a geometry-optimized AgIrPt structure, from Alexandria.

Properties
calculated formation energy: 0.3342 eV per atom
DOS(E_F): 1.555 states/eV per atom

CIF file:
```
data_AgIrPt
_cell_length_a 4.5240
_cell_length_b 4.5240
_cell_length_c 2.7489
_cell_angle_alpha 90.00
_cell_angle_beta 90.00
_cell_angle_gamma 120.00
_symmetry_space_group_name_H-M 'P -6 m 2'
_symmetry_Int_Tables_number 187
_symmetry_space_group_name_Hall 'P -6 2'
loop_
_atom_site_label
_atom_site_fract_x
_atom_site_fract_y
_atom_site_fract_z
Ag1 0.0000 0.0000 0.0000
Ir1 0.6667 0.3333 0.5000
Pt1 0.3333 0.6667 0.5000
```

---

The following is a PBE-GGA calculation of a geometry-optimized Ag2IrPt structure, from Alexandria.

Properties
calculated formation energy: 0.5357 eV per atom
DOS(E_F): 1.155 states/eV per atom

CIF file:
```
data_Ag2IrPt
_cell_length_a 6.409
_cell_length_b 6.409
_cell_length_c 6.409
_cell_angle_alpha 90.00
_cell_angle_beta 90.00
_cell_angle_gamma 90.00
_symmetry_space_group_name_H-M 'F m -3 m'
_symmetry_Int_Tables_number 225
_symmetry_space_group_name_Hall '-F 4 2 3'
loop_
_atom_site_label
_atom_site_fract_x
_atom_site_fract_y
_atom_site_fract_z
Ag1 0.250 0.250 0.250
Ir1 0.000 0.000 0.000
Pt1 0.000 0.000 0.500
```